Entry 1:
CsPdRuBr6 | PBE | optimized geometry

Computed properties:
VASP energy in eV per atom: -3.38
Total moment in μB per formula unit: 1.05
Volume in A^3/atom: 36.227
DOS at the Fermi energy in states/eV per cell: 6.698
Uncorrected formation energy in kJ/mol of formula units: -488

Lattice parameters (Å, degrees): 6.760 6.760 8.239 90.00 90.00 120.00
Fractional coordinates of all 9 atoms:
Cs (0.000, 0.000, 0.000)
Pd (0.667, 0.333, 0.500)
Ru (0.333, 0.667, 0.500)
Br (0.015, 0.368, 0.672)
Br (0.015, 0.647, 0.328)
Br (0.353, 0.368, 0.328)
Br (0.353, 0.985, 0.672)
Br (0.632, 0.647, 0.672)
Br (0.632, 0.985, 0.328)



Entry 2:
Cs2ScPdBr6 | PBE | optimized geometry

Computed properties:
VASP energy in eV per atom: -3.71
Total moment in μB per formula unit: 1.00
Volume in A^3/atom: 33.118
DOS at the Fermi energy in states/eV per cell: 4.366
ΔE to the lowest computed polymorph in meV per atom: 21
Uncorrected formation energy in kJ/mol of formula units: -1330

Lattice parameters (Å, degrees): 7.735 7.735 7.735 119.19 119.19 91.40
Fractional coordinates of all 10 atoms:
Cs (0.250, 0.750, 0.500)
Cs (0.750, 0.250, 0.500)
Sc (0.000, 0.000, 0.000)
Pd (0.500, 0.500, 0.000)
Br (0.242, 0.242, 0.484)
Br (0.242, 0.758, 0.000)
Br (0.250, 0.250, 0.000)
Br (0.750, 0.750, 0.000)
Br (0.758, 0.242, 0.000)
Br (0.758, 0.758, 0.516)



Entry 3:
Cs2ScPdBr6 | PBE | optimized geometry

Computed properties:
VASP energy in eV per atom: -3.73
Total moment in μB per formula unit: 1.01
Volume in A^3/atom: 33.973
DOS at the Fermi energy in states/eV per cell: 11.511
ΔE to the lowest computed polymorph in meV per atom: 0
Uncorrected formation energy in kJ/mol of formula units: -1350

Lattice parameters (Å, degrees): 13.662 13.662 13.662 33.17 33.17 33.17
Fractional coordinates of all 20 atoms:
Cs (0.123, 0.123, 0.123)
Cs (0.295, 0.295, 0.295)
Cs (0.705, 0.705, 0.705)
Cs (0.877, 0.877, 0.877)
Sc (0.415, 0.415, 0.415)
Sc (0.585, 0.585, 0.585)
Pd (0.000, 0.000, 0.000)
Pd (0.500, 0.500, 0.500)
Br (0.133, 0.618, 0.618)
Br (0.213, 0.213, 0.702)
Br (0.213, 0.702, 0.213)
Br (0.298, 0.787, 0.787)
Br (0.382, 0.382, 0.867)
Br (0.382, 0.867, 0.382)
Br (0.618, 0.133, 0.618)
Br (0.618, 0.618, 0.133)
Br (0.702, 0.213, 0.213)
Br (0.787, 0.298, 0.787)
Br (0.787, 0.787, 0.298)
Br (0.867, 0.382, 0.382)



> What is the formula in the third record?

Cs2ScPdBr6



> What is the formula in the second record?

Cs2ScPdBr6



> Number 3 is which compound?

Cs2ScPdBr6



> What is the formula in the third record?

Cs2ScPdBr6